# GGA-PBE LiTc2W, relaxed
data_LiTc2W
_cell_length_a 5.392
_cell_length_b 8.286
_cell_length_c 2.632
_cell_angle_alpha 90.00
_cell_angle_beta 90.00
_cell_angle_gamma 90.00
_space_group_name_H-M_alt 'C m m m'
_space_group_IT_number 65
_space_group_name_Hall '-C 2 2'
loop_
_atom_site_label
_atom_site_type_symbol
_atom_site_fract_x
_atom_site_fract_y
_atom_site_fract_z
_atom_site_occupancy
Li1 Li 0.000 0.000 0.000 1
Tc1 Tc 0.250 0.250 0.500 1
W1 W 0.000 0.500 0.000 1
# - relative energy among the computed polymorphs (meV per atom) = 213.3
# - volume (Å³/cell) = 117.6
# - formation energy from the elements (eV/atom) = 0.38
# - density of states at the Fermi level (states/eV/f.u.) = 3.6
# - magnetic moment (μB per formula unit) = 0.00

# GGA-PBE LiTcW2, relaxed
data_LiTcW2
_cell_length_a 8.997
_cell_length_b 2.613
_cell_length_c 5.174
_cell_angle_alpha 90.00
_cell_angle_beta 93.44
_cell_angle_gamma 90.00
_space_group_name_H-M_alt 'C 1 m 1'
_space_group_IT_number 8
loop_
_space_group_symop_operation_xyz
'x,y,z'
'x,-y,z'
'x+1/2,y+1/2,z'
'x+1/2,-y+1/2,z'
loop_
_atom_site_label
_atom_site_type_symbol
_atom_site_fract_x
_atom_site_fract_y
_atom_site_fract_z
_atom_site_occupancy
Li1 Li 0.000 0.000 0.000 1
Tc1 Tc 0.250 0.500 0.240 1
W1 W 0.001 0.500 0.494 1
W2 W 0.248 0.000 0.761 1
# - relative energy among the computed polymorphs (meV per atom) = 150.2
# - volume (Å³/cell) = 121.4
# - formation energy from the elements (eV/atom) = 0.41
# - density of states at the Fermi level (states/eV/f.u.) = 3.2
# - magnetic moment (μB per formula unit) = 0.00

- Which of these has the lowest relative energy among the computed polymorphs?
  LiTcW2